DFT (GGA+U) results for an optimized crystal structure of AcCoReO6.

It has space group P312 (No. 149), with a = 5.1670 Å, b = 5.1670 Å, c = 5.3062 Å, α = 90.00°, β = 90.00° and γ = 120.00°. The asymmetric unit holds Ac at (0.0000, 0.0000, 0.0000), Co at (0.3333, 0.6667, 0.5000), Re at (0.6667, 0.3333, 0.5000) and O at (0.9999, 0.3846, 0.7029).

For the calculated total energy, the calculation gives -7.648 eV per atom.